No. 1
First-principles (GGA-PBE) data for Tb3DySe6 after structural relaxation, as listed in Alexandria via LeMat-Bulk.

Values from the calculation:
For the uncorrected formation energy, the calculation gives -1.85 eV per atom. Its density of states at the Fermi level is 0.00 states/eV per cell. For the total energy, the calculation gives -5.791 eV per atom. The space group is R-3 (148).

Unit cell a=8.423 b=8.423 c=8.423 alpha=90.95 beta=90.95 gamma=90.95
Atoms (fractional coordinates):
1 Tb 0.430 0.921 0.754
2 Tb 0.921 0.754 0.430
3 Tb 0.246 0.570 0.079
4 Tb 0.754 0.430 0.921
5 Tb 0.079 0.246 0.570
6 Tb 0.570 0.079 0.246
7 Dy 0.000 0.000 0.000
8 Dy 0.500 0.500 0.500
9 Se 0.315 0.910 0.085
10 Se 0.090 0.915 0.685
11 Se 0.592 0.819 0.462
12 Se 0.915 0.685 0.090
13 Se 0.462 0.592 0.819
14 Se 0.181 0.538 0.408
15 Se 0.819 0.462 0.592
16 Se 0.538 0.408 0.181
17 Se 0.085 0.315 0.910
18 Se 0.408 0.181 0.538
19 Se 0.910 0.085 0.315
20 Se 0.685 0.090 0.915

=====

No. 2
First-principles (GGA-PBE) data for Pa2CrW after structural relaxation, as listed in Alexandria via LeMat-Bulk.

Values from the calculation:
Its density of states at the Fermi level is 5.78 states/eV per cell. For the total energy, the calculation gives -9.647 eV per atom. The space group is R-3m (166). The formation energy is 0.745 eV per atom.

Unit cell a=2.971 b=2.971 c=10.557 alpha=81.91 beta=81.91 gamma=60.00
Site moments in Bohr magnetons follow the coordinates.
Atoms (fractional coordinates):
1 Cr 0.500 0.500 0.500  1.69
2 Pa 0.091 0.091 0.728  -0.09
3 Pa 0.909 0.909 0.272  -0.09
4 W 0.000 0.000 0.000  0.04

=====

No. 3
First-principles (GGA-PBE) data for MgMn2Pb after structural relaxation, as listed in Alexandria via LeMat-Bulk.

Values from the calculation:
Its density of states at the Fermi level is 6.14 states/eV per cell. For the total energy, the calculation gives -5.432 eV per atom. The space group is F-43m (216). The formation energy is 0.479 eV per atom.

Unit cell a=4.745 b=4.745 c=4.745 alpha=60.00 beta=60.00 gamma=60.00
Site moments in Bohr magnetons follow the coordinates.
Atoms (fractional coordinates):
1 Mg 0.500 0.500 0.500  -0.02
2 Mn 0.000 0.000 0.000  3.42
3 Mn 0.250 0.250 0.250  3.51
4 Pb 0.750 0.750 0.750  -0.04

=====

No. 4
First-principles (GGA-PBE) data for Li2NdDyTl4 after structural relaxation, as listed in Alexandria via LeMat-Bulk.

Values from the calculation:
Its density of states at the Fermi level is 1.73 states/eV per cell. For the total energy, the calculation gives -3.159 eV per atom. The space group is R-3m (166). The formation energy is -0.326 eV per atom.

Unit cell a=5.238 b=5.238 c=9.064 alpha=73.21 beta=73.21 gamma=60.00
Atoms (fractional coordinates):
1 Li 0.751 0.751 0.747
2 Li 0.249 0.249 0.253
3 Nd 0.000 0.000 0.000
4 Dy 0.500 0.500 0.500
5 Tl 0.377 0.377 0.869
6 Tl 0.873 0.873 0.381
7 Tl 0.127 0.127 0.619
8 Tl 0.623 0.623 0.131